1.
Here is a relaxed In2FeMo crystal from the Alexandria database. Energies are from PBE-GGA.

Properties
The calculation puts the density of states at the Fermi level at 0.54 states/eV per atom. For the energy above the most stable polymorph in this dataset, the calculation gives 171 meV/atom. The total magnetic moment comes out at 3.78 Bohr magnetons per cell. The value obtained for the formation energy is 0.411 eV/atom.

Cell: 5.2164 5.2164 5.2164 Å, 134.26 134.26 66.68°
Element x y z (fractional)
In: 0.2500 0.7500 0.5000
In: 0.7500 0.2500 0.5000
Fe: 0.0000 0.0000 0.0000
Mo: 0.5000 0.5000 0.0000

---

2.
Here is a relaxed MnGaNi5 crystal from the Alexandria database. Energies are from PBE-GGA.

Properties
The calculation puts the density of states at the Fermi level at 1.42 states/eV per atom. For the energy above the most stable polymorph in this dataset, the calculation gives 17 meV/atom. The total magnetic moment comes out at 3.52 Bohr magnetons per cell. The value obtained for the formation energy is -0.062 eV/atom.

Cell: 3.5448 3.5448 6.8578 Å, 90.00 90.00 90.00°
Element x y z (fractional)
Mn: 0.0000 0.0000 0.0000
Ga: 0.5000 0.5000 0.5000
Ni: 0.0000 0.5000 0.2580
Ni: 0.0000 0.5000 0.7420
Ni: 0.5000 0.0000 0.2580
Ni: 0.5000 0.0000 0.7420
Ni: 0.5000 0.5000 0.0000

---

3.
Here is a relaxed Mg2TiPb crystal from the Alexandria database. Energies are from PBE-GGA.

Properties
The calculation puts the density of states at the Fermi level at 0.67 states/eV per atom. The total magnetic moment comes out at 0.00 Bohr magnetons per cell. The value obtained for the formation energy is 0.012 eV/atom.

Cell: 4.3219 4.3219 4.4703 Å, 90.00 90.00 90.00°
Element x y z (fractional)
Mg: 0.0000 0.5000 0.0000
Mg: 0.5000 0.0000 0.0000
Ti: 0.0000 0.0000 0.5000
Pb: 0.5000 0.5000 0.5000

---

4.
Here is a relaxed LaTb2SmY5 crystal from the Alexandria database. Energies are from PBE-GGA.

Properties
The calculation puts the density of states at the Fermi level at 1.23 states/eV per atom. The total magnetic moment comes out at 0.00 Bohr magnetons per cell. The value obtained for the formation energy is 0.256 eV/atom.

Cell: 9.8941 9.8941 9.8941 Å, 126.89 126.89 78.44°
Element x y z (fractional)
La: 0.2500 0.2500 0.0000
La: 0.7500 0.7500 0.0000
Tb: 0.1154 0.6154 0.7308
Tb: 0.3846 0.1154 0.5000
Tb: 0.6154 0.8846 0.5000
Tb: 0.8846 0.3846 0.2692
Sm: 0.2500 0.7500 0.5000
Sm: 0.7500 0.2500 0.5000
Y: 0.0000 0.0000 0.0000
Y: 0.0718 0.1629 0.5000
Y: 0.1629 0.6629 0.0911
Y: 0.3371 0.4282 0.5000
Y: 0.4282 0.9282 0.0911
Y: 0.5000 0.5000 0.0000
Y: 0.5718 0.0718 0.9089
Y: 0.6629 0.5718 0.5000
Y: 0.8371 0.3371 0.9089
Y: 0.9282 0.8371 0.5000

---

5.
Here is a relaxed Ba2AgSnGe crystal from the Alexandria database. Energies are from PBE-GGA.

Properties
The calculation puts the density of states at the Fermi level at 0.78 states/eV per atom. For the energy above the most stable polymorph in this dataset, the calculation gives 0 meV/atom. The total magnetic moment comes out at 0.00 Bohr magnetons per cell. The value obtained for the formation energy is -0.089 eV/atom.

Cell: 6.3975 6.3975 5.2107 Å, 90.00 90.00 90.00°
Element x y z (fractional)
Ba: 0.0000 0.5000 0.0000
Ba: 0.5000 0.0000 0.0000
Ag: 0.0000 0.0000 0.5000
Sn: 0.5000 0.5000 0.5000
Ge: 0.5000 0.5000 0.0000

---

6.
Here is a relaxed LaHoPt3 crystal from the Alexandria database. Energies are from PBE-GGA.

Properties
The calculation puts the density of states at the Fermi level at 0.67 states/eV per atom. The total magnetic moment comes out at 0.00 Bohr magnetons per cell. The value obtained for the formation energy is -1.151 eV/atom.

Cell: 13.7727 13.7727 4.2695 Å, 90.00 90.00 163.70°
Element x y z (fractional)
La: 0.0746 0.9254 0.7500
La: 0.9254 0.0746 0.2500
Ho: 0.2075 0.7925 0.2500
Ho: 0.7925 0.2075 0.7500
Pt: 0.3116 0.6884 0.2500
Pt: 0.3738 0.6262 0.7500
Pt: 0.4706 0.5294 0.7500
Pt: 0.5294 0.4706 0.2500
Pt: 0.6262 0.3738 0.2500
Pt: 0.6884 0.3116 0.7500

---

7.
Here is a relaxed Pm2AlAsPt6 crystal from the Alexandria database. Energies are from PBE-GGA.

Properties
The calculation puts the density of states at the Fermi level at 0.49 states/eV per atom. The total magnetic moment comes out at 0.00 Bohr magnetons per cell. The value obtained for the formation energy is -0.844 eV/atom.

Cell: 6.5404 6.5404 8.4975 Å, 128.54 128.54 49.61°
Element x y z (fractional)
Pm: 0.2434 0.2434 0.2115
Pm: 0.7566 0.7566 0.7885
Al: 0.5000 0.5000 0.0000
As: 0.0000 0.0000 0.5000
Pt: 0.2373 0.7387 0.2354
Pt: 0.2538 0.2538 0.6066
Pt: 0.2613 0.7627 0.7646
Pt: 0.7387 0.2373 0.2354
Pt: 0.7462 0.7462 0.3934
Pt: 0.7627 0.2613 0.7646